1.
First-principles (PBE-GGA) data for Tl2CuSbTe4 after structural relaxation, as listed in Alexandria.

Values from the calculation:
Electronic total energy in eV/atom: -3.29

CIF file:
```
data_Tl2CuSbTe4
_symmetry_space_group_name_H-M 'I -4 2 m'
_symmetry_Int_Tables_number 121
_symmetry_space_group_name_Hall 'I -4 2'
_cell_length_a 8.708
_cell_length_b 8.708
_cell_length_c 6.730
_cell_angle_alpha 90.00
_cell_angle_beta 90.00
_cell_angle_gamma 90.00
loop_
_atom_site_label
_atom_site_fract_x
_atom_site_fract_y
_atom_site_fract_z
Tl1 0.000 0.500 0.000
Cu1 0.000 0.000 0.000
Sb1 0.000 0.000 0.500
Te1 0.176 0.176 0.231
```

=====

2.
First-principles (PBE-GGA) data for GdErAlZn after structural relaxation, as listed in Alexandria.

Values from the calculation:
Electronic total energy in eV/atom: -6.29

CIF file:
```
data_GdErAlZn
_symmetry_space_group_name_H-M 'F -4 3 m'
_symmetry_Int_Tables_number 216
_symmetry_space_group_name_Hall 'F -4 2 3'
_cell_length_a 7.194
_cell_length_b 7.194
_cell_length_c 7.194
_cell_angle_alpha 90.00
_cell_angle_beta 90.00
_cell_angle_gamma 90.00
loop_
_atom_site_label
_atom_site_fract_x
_atom_site_fract_y
_atom_site_fract_z
Gd1 0.000 0.000 0.000
Er1 0.000 0.000 0.500
Al1 0.250 0.250 0.750
Zn1 0.250 0.250 0.250
```

=====

3.
First-principles (PBE-GGA) data for TlTcSb after structural relaxation, as listed in Alexandria.

Values from the calculation:
Electronic total energy in eV/atom: -5.36
Energy relative to the lowest polymorph listed for this composition in meV/atom: 0

CIF file:
```
data_TlTcSb
_symmetry_space_group_name_H-M 'P 4/n m m'
_symmetry_Int_Tables_number 129
_cell_length_a 4.662
_cell_length_b 4.662
_cell_length_c 6.339
_cell_angle_alpha 90.00
_cell_angle_beta 90.00
_cell_angle_gamma 90.00
loop_
_symmetry_equiv_pos_as_xyz
'x,y,z'
'-x,-y,-z'
'-y+1/2,x,z'
'y+1/2,-x,-z'
'-x+1/2,-y+1/2,z'
'x+1/2,y+1/2,-z'
'y,-x+1/2,z'
'-y,x+1/2,-z'
'x+1/2,-y,-z'
'-x+1/2,y,z'
'-y,-x,-z'
'y,x,z'
'-x,y+1/2,-z'
'x,-y+1/2,z'
'y+1/2,x+1/2,-z'
'-y+1/2,-x+1/2,z'
loop_
_atom_site_label
_atom_site_fract_x
_atom_site_fract_y
_atom_site_fract_z
Tl1 0.250 0.250 0.193
Tc1 0.250 0.750 0.500
Sb1 0.250 0.250 0.718
```

=====

4.
First-principles (PBE-GGA) data for CeMnP2 after structural relaxation, as listed in Alexandria.

Values from the calculation:
Electronic total energy in eV/atom: -7.37
Energy relative to the lowest polymorph listed for this composition in meV/atom: 42

CIF file:
```
data_CeMnP2
_symmetry_space_group_name_H-M 'R -3 m'
_symmetry_Int_Tables_number 166
_symmetry_space_group_name_Hall '-R 3 2"'
_cell_length_a 3.9245
_cell_length_b 3.9245
_cell_length_c 14.5338
_cell_angle_alpha 90.00
_cell_angle_beta 90.00
_cell_angle_gamma 120.00
loop_
_atom_site_label
_atom_site_fract_x
_atom_site_fract_y
_atom_site_fract_z
Ce1 0.0000 0.0000 0.0000
Mn1 0.0000 0.0000 0.5000
P1 0.0000 0.0000 0.2125
```

=====

5.
First-principles (PBE-GGA) data for Sr2Mg3Zn after structural relaxation, as listed in Alexandria.

Values from the calculation:
Electronic total energy in eV/atom: -1.68

CIF file:
```
data_Sr2Mg3Zn
_symmetry_space_group_name_H-M 'C 1 2/m 1'
_symmetry_Int_Tables_number 12
_cell_length_a 10.883
_cell_length_b 6.268
_cell_length_c 6.240
_cell_angle_alpha 90.00
_cell_angle_beta 124.78
_cell_angle_gamma 90.00
loop_
_symmetry_equiv_pos_as_xyz
'x,y,z'
'-x,-y,-z'
'-x,y,-z'
'x,-y,z'
'x+1/2,y+1/2,z'
'-x+1/2,-y+1/2,-z'
'-x+1/2,y+1/2,-z'
'x+1/2,-y+1/2,z'
loop_
_atom_site_label
_atom_site_fract_x
_atom_site_fract_y
_atom_site_fract_z
Sr1 0.126 0.000 0.373
Mg1 0.000 0.500 0.500
Mg2 0.250 0.250 0.000
Zn1 0.000 0.500 0.000
```

=====

6.
First-principles (PBE-GGA) data for Si5C after structural relaxation, as listed in Alexandria.

Values from the calculation:
Electronic total energy in eV/atom: -4.68
Energy relative to the lowest polymorph listed for this composition in meV/atom: 883

CIF file:
```
data_Si5C
_symmetry_space_group_name_H-M 'P 6/m m m'
_symmetry_Int_Tables_number 191
_symmetry_space_group_name_Hall '-P 6 2'
_cell_length_a 4.6698
_cell_length_b 4.6698
_cell_length_c 4.8043
_cell_angle_alpha 90.00
_cell_angle_beta 90.00
_cell_angle_gamma 120.00
loop_
_atom_site_label
_atom_site_fract_x
_atom_site_fract_y
_atom_site_fract_z
Si1 0.0000 0.5000 0.0000
Si2 0.3333 0.6667 0.5000
C1 0.0000 0.0000 0.5000
```

=====

7.
First-principles (PBE-GGA) data for AlMoAs2Br after structural relaxation, as listed in Alexandria.

Values from the calculation:
Electronic total energy in eV/atom: -4.72
Energy relative to the lowest polymorph listed for this composition in meV/atom: 0

CIF file:
```
data_AlMoAs2Br
_symmetry_space_group_name_H-M 'P 4/m m m'
_symmetry_Int_Tables_number 123
_symmetry_space_group_name_Hall '-P 4 2'
_cell_length_a 4.835
_cell_length_b 4.835
_cell_length_c 5.542
_cell_angle_alpha 90.00
_cell_angle_beta 90.00
_cell_angle_gamma 90.00
loop_
_atom_site_label
_atom_site_fract_x
_atom_site_fract_y
_atom_site_fract_z
Al1 0.000 0.000 0.000
Mo1 0.500 0.500 0.500
As1 0.000 0.500 0.500
Br1 0.500 0.500 0.000
```

=====

8.
First-principles (PBE-GGA) data for AcSi2NiPt4 after structural relaxation, as listed in Alexandria.

Values from the calculation:
Electronic total energy in eV/atom: -6.12

CIF file:
```
data_AcSi2NiPt4
_symmetry_space_group_name_H-M 'P 4/m m m'
_symmetry_Int_Tables_number 123
_symmetry_space_group_name_Hall '-P 4 2'
_cell_length_a 4.032
_cell_length_b 4.032
_cell_length_c 9.571
_cell_angle_alpha 90.00
_cell_angle_beta 90.00
_cell_angle_gamma 90.00
loop_
_atom_site_label
_atom_site_fract_x
_atom_site_fract_y
_atom_site_fract_z
Ac1 0.000 0.000 0.000
Si1 0.500 0.500 0.383
Ni1 0.000 0.000 0.500
Pt1 0.000 0.500 0.256
```